# La5Sm4Y

A relaxed structure of La5Sm4Y (PBE-GGA, Alexandria).

Energy above the lowest structure with this stoichiometry, meV/atom: 0
Theoretical density, g cm⁻³: 6.47
M_tot, Bohr magnetons per cell: 0.00

Structure (CIF):
```
data_La5Sm4Y
_symmetry_space_group_name_H-M 'C 1 2/m 1'
_symmetry_Int_Tables_number 12
_cell_length_a 18.320
_cell_length_b 3.577
_cell_length_c 11.351
_cell_angle_alpha 90.00
_cell_angle_beta 107.27
_cell_angle_gamma 90.00
loop_
_symmetry_equiv_pos_as_xyz
'x,y,z'
'-x,-y,-z'
'-x,y,-z'
'x,-y,z'
'x+1/2,y+1/2,z'
'-x+1/2,-y+1/2,-z'
'-x+1/2,y+1/2,-z'
'x+1/2,-y+1/2,z'
loop_
_atom_site_label
_atom_site_fract_x
_atom_site_fract_y
_atom_site_fract_z
La1 0.000 0.000 0.000
La2 0.104 0.500 0.788
La3 0.207 0.500 0.101
Sm1 0.094 0.500 0.309
Sm2 0.197 0.000 0.581
Y1 0.000 0.000 0.500
```